The following is a DFT calculation (PBE+U) of crystalline Sr2La2MnCuO8 at its relaxed geometry.

a = 13.432 Å, b = 3.860 Å, c = 15.402 Å
α = 90.00°, β = 107.07°, γ = 90.00°
Space group C2/m (No. 12)
Symmetry-distinct sites (fractional):
Sr (0.142, 0.000, 0.035) x4
Sr (0.147, 0.000, 0.784) x4
La (0.134, 0.000, 0.288) x4
La (0.142, 0.000, 0.537) x4
Mn (0.004, 0.500, 0.875) x4
Cu (0.004, 0.500, 0.625) x4
O (0.000, 0.000, 0.378) x4
O (0.000, 0.500, 0.000) x2
O (0.000, 0.500, 0.500) x2
O (0.001, 0.000, 0.128) x4
O (0.002, 0.500, 0.749) x4
O (0.155, 0.500, 0.173) x4
O (0.159, 0.500, 0.914) x4
O (0.179, 0.500, 0.422) x4
O (0.186, 0.500, 0.660) x4

Output
Electronic total energy, eV/atom: -7.069